{
  "formula": "CoReN2O",
  "functional": "PBE with a Hubbard U",
  "state": "optimized geometry",
  "final_energy_ev_per_atom": -6.5774,
  "magnetic_moment_mub_per_atom": 0.209,
  "sg": "No. 123",
  "vol_a3_per_atom": 9.46,
  "cell": [[3.643, 0.000, 0.000], [0.000, 3.643, 0.000], [0.000, 0.000, 3.563]],
  "species": ["Co", "Re", "N", "N", "O"],
  "fractional_positions": [[0.000, 0.000, 0.000], [0.500, 0.500, 0.500], [0.000, 0.500, 0.000], [0.500, 0.000, 0.000], [0.000, 0.000, 0.500]]
}